[1]
An optimized crystal structure of Rb4Th3US8. Source: Alexandria, functional PBE.

Values from the calculation:
The value obtained for the raw formation energy is -1575 meV/atom. The total magnetization comes out at 0.23 μB/atom. Its density of states at the Fermi level is 11.6 states/eV/cell. Its total DFT energy (no corrections) is -5.9770 eV/atom.

Lattice parameters (Å, degrees): 9.1497 9.1497 9.1497 53.55 53.55 53.55
Atoms (fractional coordinates):
Rb (0.0000, 0.0000, 0.0000)
Rb (0.0000, 0.5000, 0.5000)
Rb (0.5000, 0.0000, 0.5000)
Rb (0.5000, 0.5000, 0.0000)
Th (0.0000, 0.0000, 0.5000)
Th (0.0000, 0.5000, 0.0000)
Th (0.5000, 0.0000, 0.0000)
U (0.5000, 0.5000, 0.5000)
S (0.2344, 0.2344, 0.2344)
S (0.2363, 0.7317, 0.7317)
S (0.2683, 0.2683, 0.7637)
S (0.2683, 0.7637, 0.2683)
S (0.7317, 0.2363, 0.7317)
S (0.7317, 0.7317, 0.2363)
S (0.7637, 0.2683, 0.2683)
S (0.7656, 0.7656, 0.7656)

=====

[2]
An optimized crystal structure of Rb4Th3ZrS8. Source: Alexandria, functional PBE.

Values from the calculation:
The value obtained for the raw formation energy is -1596 meV/atom. The total magnetization comes out at 0.00 μB/atom. Its density of states at the Fermi level is 10.6 states/eV/cell. Its total DFT energy (no corrections) is -5.8272 eV/atom.

Lattice parameters (Å, degrees): 9.1304 9.1304 9.1304 52.58 52.58 52.58
Atoms (fractional coordinates):
Rb (0.0000, 0.0000, 0.0000)
Rb (0.0000, 0.5000, 0.5000)
Rb (0.5000, 0.0000, 0.5000)
Rb (0.5000, 0.5000, 0.0000)
Th (0.0000, 0.0000, 0.5000)
Th (0.0000, 0.5000, 0.0000)
Th (0.5000, 0.0000, 0.0000)
Zr (0.5000, 0.5000, 0.5000)
S (0.2361, 0.2361, 0.2361)
S (0.2465, 0.7255, 0.7255)
S (0.2745, 0.2745, 0.7535)
S (0.2745, 0.7535, 0.2745)
S (0.7255, 0.2465, 0.7255)
S (0.7255, 0.7255, 0.2465)
S (0.7535, 0.2745, 0.2745)
S (0.7639, 0.7639, 0.7639)

=====

[3]
An optimized crystal structure of Rb5TiS4. Source: Alexandria, functional PBE.

Values from the calculation:
The value obtained for the raw formation energy is -887 meV/atom. The total magnetization comes out at 0.04 μB/atom. Its density of states at the Fermi level is 2.9 states/eV/cell. For the energy above the most stable polymorph in this dataset, the calculation gives 226 kJ/mol of formula units. Its total DFT energy (no corrections) is -3.8110 eV/atom.

Lattice parameters (Å, degrees): 10.0503 10.0503 8.8518 98.21 98.21 23.86
Atoms (fractional coordinates):
Rb (0.0000, 0.0000, 0.0000)
Rb (0.3313, 0.3313, 0.6656)
Rb (0.3491, 0.3491, 0.1871)
Rb (0.6509, 0.6509, 0.8129)
Rb (0.6687, 0.6687, 0.3344)
Ti (0.0000, 0.0000, 0.5000)
S (0.1237, 0.1237, 0.5565)
S (0.4936, 0.4936, 0.6923)
S (0.5064, 0.5064, 0.3077)
S (0.8763, 0.8763, 0.4435)

=====

[4]
An optimized crystal structure of Rb4TiS4. Source: Alexandria, functional PBE.

Values from the calculation:
The value obtained for the raw formation energy is -1317 meV/atom. The total magnetization comes out at 0.00 μB/atom. Its density of states at the Fermi level is 0.0 states/eV/cell. For the energy above the most stable polymorph in this dataset, the calculation gives 0 kJ/mol of formula units. Its total DFT energy (no corrections) is -4.4589 eV/atom.

Lattice parameters (Å, degrees): 9.2372 9.2372 7.1852 90.00 90.00 90.00
Atoms (fractional coordinates):
Rb (0.0279, 0.2500, 0.1028)
Rb (0.2500, 0.0279, 0.6028)
Rb (0.2500, 0.4721, 0.6028)
Rb (0.4721, 0.2500, 0.1028)
Rb (0.5279, 0.7500, 0.8972)
Rb (0.7500, 0.5279, 0.3972)
Rb (0.7500, 0.9721, 0.3972)
Rb (0.9721, 0.7500, 0.8972)
Ti (0.2500, 0.7500, 0.2500)
Ti (0.7500, 0.2500, 0.7500)
S (0.0459, 0.7500, 0.4304)
S (0.2500, 0.5459, 0.0696)
S (0.2500, 0.9541, 0.0696)
S (0.4541, 0.7500, 0.4304)
S (0.5459, 0.2500, 0.5696)
S (0.7500, 0.0459, 0.9304)
S (0.7500, 0.4541, 0.9304)
S (0.9541, 0.2500, 0.5696)

=====

[5]
An optimized crystal structure of RbTiS3. Source: Alexandria, functional PBE.

Values from the calculation:
The value obtained for the raw formation energy is -1104 meV/atom. The total magnetization comes out at 0.00 μB/atom. For the energy above the most stable polymorph in this dataset, the calculation gives 0 kJ/mol of formula units. Its total DFT energy (no corrections) is -5.3533 eV/atom.

Lattice parameters (Å, degrees): 9.6521 9.6521 6.2257 90.00 90.00 87.66
Atoms (fractional coordinates):
Rb (0.1475, 0.3525, 0.2500)
Rb (0.3525, 0.1475, 0.7500)
Rb (0.6475, 0.8525, 0.2500)
Rb (0.8525, 0.6475, 0.7500)
Ti (0.2112, 0.7888, 0.4516)
Ti (0.2888, 0.7112, 0.9516)
Ti (0.7112, 0.2888, 0.0484)
Ti (0.7888, 0.2112, 0.5484)
S (0.0524, 0.9476, 0.6246)
S (0.0905, 0.6794, 0.1635)
S (0.1794, 0.5905, 0.6635)
S (0.3206, 0.9095, 0.1635)
S (0.4095, 0.8206, 0.6635)
S (0.4476, 0.5524, 0.1246)
S (0.5524, 0.4476, 0.8754)
S (0.5905, 0.1794, 0.3365)
S (0.6794, 0.0905, 0.8365)
S (0.8206, 0.4095, 0.3365)
S (0.9095, 0.3206, 0.8365)
S (0.9476, 0.0524, 0.3754)

=====

[6]
An optimized crystal structure of RbTi2S3. Source: Alexandria, functional PBE.

Values from the calculation:
The value obtained for the raw formation energy is -1335 meV/atom. The total magnetization comes out at 0.00 μB/atom. Its density of states at the Fermi level is 8.1 states/eV/cell. Its total DFT energy (no corrections) is -6.1920 eV/atom.

Lattice parameters (Å, degrees): 7.8874 7.8874 9.5188 90.00 90.00 152.45
Atoms (fractional coordinates):
Rb (0.2500, 0.7500, 0.7500)
Rb (0.7500, 0.2500, 0.2500)
Ti (0.0000, 0.0000, 0.0000)
Ti (0.0000, 0.0000, 0.5000)
Ti (0.4787, 0.5213, 0.2500)
Ti (0.5213, 0.4787, 0.7500)
S (0.0695, 0.9305, 0.2500)
S (0.3917, 0.6083, 0.0505)
S (0.3917, 0.6083, 0.4495)
S (0.6083, 0.3917, 0.5505)
S (0.6083, 0.3917, 0.9495)
S (0.9305, 0.0695, 0.7500)